Record 1
# Li2OsW

Li2OsW after structural relaxation (PBE, Alexandria).

Unit cell a=2.829 b=4.391 c=9.562 alpha=90.00 beta=90.00 gamma=90.00
Space group Cmmm (No. 65)
Symmetry-distinct sites (fractional):
Li (0.000, 0.000, 0.237) x4
Os (0.000, 0.500, 0.000) x2
W (0.000, 0.500, 0.500) x2

energy = -6.63 eV/atom
spin magnetization = 0.0 Bohr magnetons per cell
density of states at the Fermi level = 3.2 states/eV/f.u.
energy relative to the elements = 0.368 eV per atom
distance to the lowest polymorph of the same formula = 0.181 eV per atom


Record 2
# Y2SnTe

Y2SnTe after structural relaxation (PBE, Alexandria).

Unit cell a=7.632 b=7.632 c=7.632 alpha=90.00 beta=90.00 gamma=90.00
Space group Fm-3m (No. 225)
Symmetry-distinct sites (fractional):
Y (0.250, 0.250, 0.250) x8
Sn (0.000, 0.000, 0.000) x4
Te (0.000, 0.000, 0.500) x4

energy = -5.80 eV/atom
energy relative to the elements, uncorrected = -304 kJ/mol of formula units
spin magnetization = 0.0 Bohr magnetons per cell
density of states at the Fermi level = 1.9 states/eV/f.u.
distance to the lowest polymorph of the same formula = 0.307 eV per atom


Record 3
# TaMn

TaMn after structural relaxation (PBE, Alexandria).

Unit cell a=2.815 b=4.319 c=4.933 alpha=90.00 beta=101.42 gamma=90.00
Space group P2_1/m (No. 11)
Symmetry-distinct sites (fractional):
Ta (0.138, 0.250, 0.352) x2
Mn (0.387, 0.750, 0.138) x2

energy = -10.46 eV/atom
spin magnetization = 1.0 Bohr magnetons per cell
density of states at the Fermi level = 1.8 states/eV/f.u.
energy relative to the elements = 0.054 eV per atom


Record 4
# Zn2TcAu

Zn2TcAu after structural relaxation (PBE, Alexandria).

Unit cell a=3.802 b=3.802 c=8.498 alpha=90.00 beta=90.00 gamma=90.00
Space group I-4m2 (No. 119)
Symmetry-distinct sites (fractional):
Zn (0.000, 0.000, 0.000) x2
Zn (0.000, 0.500, 0.250) x2
Tc (0.000, 0.000, 0.500) x2
Au (0.000, 0.500, 0.750) x2

energy = -3.87 eV/atom
spin magnetization = 0.0 Bohr magnetons per cell
density of states at the Fermi level = 3.1 states/eV/f.u.
energy relative to the elements = 0.176 eV per atom
distance to the lowest polymorph of the same formula = 0.174 eV per atom


Record 5
# Ca5Ag2Pb

Ca5Ag2Pb after structural relaxation (PBE, Alexandria).

Unit cell a=8.126 b=8.126 c=14.893 alpha=90.00 beta=90.00 gamma=90.00
Space group I4/mcm (No. 140)
Symmetry-distinct sites (fractional):
Ca (0.000, 0.000, 0.000) x4
Ca (0.169, 0.331, 0.144) x16
Ag (0.124, 0.376, 0.500) x8
Pb (0.000, 0.000, 0.250) x4

energy = -2.81 eV/atom
spin magnetization = 0.0 Bohr magnetons per cell
density of states at the Fermi level = 5.6 states/eV/f.u.
energy relative to the elements = -0.383 eV per atom


Record 6
# Cs2CaPdI6

Cs2CaPdI6 after structural relaxation (PBE, Alexandria).

Unit cell a=8.449 b=8.449 c=12.008 alpha=90.00 beta=90.00 gamma=90.00
Space group I4/mmm (No. 139)
Symmetry-distinct sites (fractional):
Cs (0.000, 0.500, 0.250) x4
Ca (0.000, 0.000, 0.000) x2
Pd (0.000, 0.000, 0.500) x2
I (0.000, 0.000, 0.260) x4
I (0.239, 0.239, 0.500) x8

energy = -2.89 eV/atom
energy relative to the elements, uncorrected = -1030 kJ/mol of formula units
spin magnetization = 3.7 Bohr magnetons per cell
density of states at the Fermi level = 4.0 states/eV/f.u.


Record 7
# SmGdSe

SmGdSe after structural relaxation (PBE, Alexandria).

Unit cell a=3.9350 b=3.9350 c=6.6209 alpha=90.00 beta=90.00 gamma=120.00
Space group P3m1 (No. 156)
Symmetry-distinct sites (fractional):
Sm (0.0000, 0.0000, 0.0000) x1
Gd (0.3333, 0.6667, 0.5592) x1
Se (0.6667, 0.3333, 0.2841) x1

energy = -8.57 eV/atom
energy relative to the elements, uncorrected = -330 kJ/mol of formula units
spin magnetization = 8.3 Bohr magnetons per cell
density of states at the Fermi level = 3.3 states/eV/f.u.


Record 8
# Sc2SiNi6H

Sc2SiNi6H after structural relaxation (PBE, Alexandria).

Unit cell a=8.802 b=5.076 c=6.223 alpha=90.00 beta=118.23 gamma=90.00
Space group C2/m (No. 12)
Symmetry-distinct sites (fractional):
Sc (0.216, 0.000, 0.150) x4
Si (0.000, 0.500, 0.000) x2
Ni (0.023, 0.253, 0.319) x8
Ni (0.229, 0.000, 0.679) x4
H (0.000, 0.000, 0.500) x2

energy = -6.10 eV/atom
spin magnetization = 0.0 Bohr magnetons per cell
density of states at the Fermi level = 4.9 states/eV/f.u.